(1)
## Ag6HgF12 (PBE-GGA)

Data for Ag6HgF12 after structural relaxation.

```
Ag6HgF12
1.0
6.746 0.050 -1.346
-1.651 6.541 -1.346
0.039 0.050 6.879
Ag Hg F
6 1 12
Direct
0.141 0.306 0.607
0.694 0.393 0.859
0.393 0.859 0.694
0.859 0.694 0.393
0.306 0.607 0.141
0.607 0.141 0.306
0.000 0.000 0.000
0.417 0.174 0.622
0.174 0.622 0.417
0.622 0.417 0.174
0.583 0.826 0.378
0.826 0.378 0.583
0.378 0.583 0.826
0.037 0.909 0.673
0.327 0.963 0.091
0.091 0.327 0.963
0.963 0.091 0.327
0.673 0.037 0.909
0.909 0.673 0.037
```

## Properties
Formation energy (no corrections) = -21.70 eV/f.u.
Symmetry = R-3

(2)
## HoMg2Zr (PBE-GGA)

Data for HoMg2Zr after structural relaxation.

```
HoMg2Zr
1.0
-1.640 -1.631 4.600
-4.499 -2.472 0.401
-0.084 -5.037 1.066
Mg Ho Zr
2 1 1
Direct
0.250 0.250 0.250
0.750 0.750 0.750
0.000 0.000 0.000
0.500 0.500 0.500
```

## Properties
Symmetry = Fm-3m
ΔE_f = 0.043 eV per atom
Relative energy among the computed polymorphs = 0.0336 eV per atom

(3)
## Tb3Sm8Ho2 (PBE-GGA)

Data for Tb3Sm8Ho2 after structural relaxation.

```
Tb3Sm8Ho2
1.0
5.648 0.000 0.801
0.000 7.699 0.000
-1.424 -3.850 10.021
Tb Sm Ho
3 8 2
Direct
0.500 0.000 0.000
0.000 0.286 0.000
0.000 0.714 0.000
0.000 0.672 0.343
0.000 0.328 0.657
0.000 0.133 0.265
0.000 0.867 0.735
0.500 0.601 0.786
0.500 0.186 0.786
0.500 0.814 0.214
0.500 0.399 0.214
0.499 0.241 0.481
0.501 0.759 0.519
```

## Properties
Symmetry = C2/m
ΔE_f = 0.216 eV per atom

(4)
## MgPdAu3 (PBE-GGA)

Data for MgPdAu3 after structural relaxation.

```
MgPdAu3
1.0
5.030 0.000 0.000
0.000 5.030 0.000
0.000 0.000 5.030
Mg Au Pd
1 3 1
Direct
0.500 0.500 0.500
0.000 0.500 0.000
0.000 0.000 0.500
0.500 0.000 0.000
0.000 0.000 0.000
```

## Properties
Symmetry = Pm-3m
ΔE_f = 0.456 eV per atom
Relative energy among the computed polymorphs = 0.7492 eV per atom

(5)
## Cr2FeP (PBE-GGA)

Data for Cr2FeP after structural relaxation.

```
Cr2FeP
1.0
-1.451 -3.303 -0.188
1.560 -0.798 1.983
-2.509 0.870 4.088
Cr Fe P
2 1 1
Direct
0.000 0.954 0.966
0.500 0.301 0.274
0.000 0.691 0.492
0.500 0.554 0.768
```

## Properties
Symmetry = Amm2
ΔE_f = -0.139 eV per atom

(6)
## Ho4Er9Zn11 (PBE-GGA)

Data for Ho4Er9Zn11 after structural relaxation.

```
Ho4Er9Zn11
1.0
3.416 0.000 0.000
0.000 12.171 -4.527
0.000 0.620 12.971
Ho Er Zn
4 9 11
Direct
0.500 0.582 0.755
0.500 0.418 0.245
0.500 0.755 0.582
0.500 0.245 0.418
0.500 0.623 0.149
0.500 0.377 0.851
0.500 0.149 0.623
0.500 0.851 0.377
0.500 0.795 0.978
0.500 0.205 0.022
0.500 0.978 0.795
0.500 0.022 0.205
0.500 0.500 0.500
0.000 0.584 0.947
0.000 0.416 0.053
0.000 0.947 0.584
0.000 0.053 0.416
0.000 0.631 0.369
0.000 0.369 0.631
0.000 0.824 0.176
0.000 0.176 0.824
0.000 0.000 0.000
0.000 0.785 0.785
0.000 0.215 0.215
```

## Properties
Symmetry = Cmmm
ΔE_f = -0.247 eV per atom

(7)
## SmCuSi (PBE-GGA)

Data for SmCuSi after structural relaxation.

```
SmCuSi
1.0
4.199 0.000 0.000
-2.099 3.636 0.000
0.000 0.000 7.736
Si Cu Sm
2 2 2
Direct
0.333 0.667 0.750
0.667 0.333 0.250
0.667 0.333 0.750
0.333 0.667 0.250
0.000 0.000 0.500
0.000 0.000 0.000
```

## Properties
Formation energy (no corrections) = -1.93 eV/f.u.
Symmetry = P6_3/mmc

(8)
## PrY2Cd5 (PBE-GGA)

Data for PrY2Cd5 after structural relaxation.

```
PrY2Cd5
1.0
-0.487 -3.491 3.850
-3.814 -2.387 -2.647
7.240 -1.471 -3.957
Pr Y Cd
1 2 5
Direct
0.000 0.000 0.000
0.736 0.736 0.473
0.264 0.264 0.527
0.500 0.500 0.000
0.876 0.376 0.752
0.376 0.876 0.752
0.124 0.624 0.248
0.624 0.124 0.248
```

## Properties
Symmetry = I4/mmm
ΔE_f = -0.331 eV per atom

(9)
## Hf2ZrFeRh (PBE-GGA)

Data for Hf2ZrFeRh after structural relaxation.

```
Hf2ZrFeRh
1.0
5.061 0.000 0.000
0.000 4.307 0.000
0.000 0.000 5.061
Rh Hf Fe Zr
1 2 1 1
Direct
0.500 0.500 0.500
0.000 0.000 0.500
0.500 0.000 0.000
0.000 0.500 0.000
0.000 0.000 0.000
```

## Properties
Symmetry = P4/mmm
ΔE_f = 1.357 eV per atom

(10)
## Sm12Dy2Tm (PBE-GGA)

Data for Sm12Dy2Tm after structural relaxation.

```
Sm12Dy2Tm
1.0
6.567 1.564 0.303
1.564 6.567 -0.303
1.465 -1.465 24.875
Sm Dy Tm
24 4 2
Direct
0.357 0.579 0.802
0.921 0.143 0.802
0.738 0.762 0.838
0.063 0.877 0.931
0.963 0.007 0.327
0.437 0.623 0.069
0.854 0.172 0.556
0.493 0.537 0.327
0.232 0.268 0.882
0.762 0.738 0.162
0.346 0.154 0.573
0.646 0.328 0.444
0.007 0.963 0.673
0.154 0.346 0.427
0.268 0.232 0.118
0.685 0.815 0.424
0.815 0.685 0.576
0.143 0.921 0.198
0.328 0.646 0.556
0.537 0.493 0.673
0.623 0.437 0.931
0.579 0.357 0.198
0.172 0.854 0.444
0.877 0.063 0.069
0.488 0.012 0.294
0.023 0.477 0.274
0.012 0.488 0.706
0.477 0.023 0.726
0.511 0.989 0.984
0.989 0.511 0.016
```

## Properties
Symmetry = C2/m
ΔE_f = 0.109 eV per atom

(11)
## Ce2YTh2 (PBE-GGA)

Data for Ce2YTh2 after structural relaxation.

```
Ce2YTh2
1.0
3.481 0.000 0.431
1.714 3.030 0.431
-0.009 -0.005 14.354
Ce Y Th
2 1 2
Direct
0.801 0.801 0.597
0.199 0.199 0.403
0.000 0.000 0.000
0.402 0.402 0.793
0.598 0.598 0.207
```

## Properties
Symmetry = R-3m
ΔE_f = 0.031 eV per atom

(12)
## PdRuF3 (PBE-GGA)

Data for PdRuF3 after structural relaxation.

```
PdRuF3
1.0
4.270 0.000 0.000
0.000 4.270 0.000
0.000 0.000 4.270
Ru Pd F
1 1 3
Direct
0.500 0.500 0.500
0.000 0.000 0.000
0.000 0.500 0.000
0.000 0.000 0.500
0.500 0.000 0.000
```

## Properties
Formation energy (no corrections) = -1.20 eV/f.u.
Symmetry = Pm-3m
Relative energy among the computed polymorphs = 0.3496 eV per atom

(13)
## ZrTeAu (PBE-GGA)

Data for ZrTeAu after structural relaxation.

```
ZrTeAu
1.0
5.585 0.001 -0.002
4.392 3.451 0.002
1.193 0.410 3.425
Au Te Zr
1 1 1
Direct
0.006 0.006 0.994
0.329 0.329 0.671
0.665 0.665 0.335
```

## Properties
Formation energy (no corrections) = -1.33 eV/f.u.
Symmetry = I4mm
Relative energy among the computed polymorphs = 0.1041 eV per atom

(14)
## Zr2TlCo (PBE-GGA)

Data for Zr2TlCo after structural relaxation.

```
Zr2TlCo
1.0
-2.754 -1.677 -0.399
1.032 -2.206 2.151
-3.209 3.942 5.582
Co Tl Zr
1 1 2
Direct
0.000 0.000 0.481
0.500 0.500 0.713
0.000 0.000 0.009
0.500 0.500 0.297
```

## Properties
Symmetry = P4mm
ΔE_f = -0.015 eV per atom

(15)
## Mn2IrPt (PBE-GGA)

Data for Mn2IrPt after structural relaxation.

```
Mn2IrPt
1.0
-4.251 -1.544 -0.358
-3.086 -1.578 -2.926
0.759 -4.793 0.409
Ir Mn Pt
1 2 1
Direct
0.750 0.750 0.750
0.003 0.003 0.995
0.497 0.497 0.505
0.250 0.250 0.250
```

## Properties
Symmetry = C2/m
ΔE_f = -0.050 eV per atom
Relative energy among the computed polymorphs = 0.1982 eV per atom

(16)
## Ca4Tl3Cd (PBE-GGA)

Data for Ca4Tl3Cd after structural relaxation.

```
Ca4Tl3Cd
1.0
5.285 0.000 -1.427
-0.380 5.277 -1.407
-0.504 -0.577 8.636
Ca Tl Cd
4 3 1
Direct
0.376 0.376 0.752
0.624 0.624 0.248
0.124 0.124 0.248
0.876 0.876 0.752
0.000 0.500 0.000
0.750 0.250 0.499
0.250 0.750 0.501
0.500 0.000 0.000
```

## Properties
Symmetry = I4/mmm
ΔE_f = -0.432 eV per atom

(17)
## PmDy2Y9 (PBE-GGA)

Data for PmDy2Y9 after structural relaxation.

```
PmDy2Y9
1.0
-1.692 -4.750 0.353
2.540 -0.583 4.331
-12.087 4.880 7.745
Pm Dy Y
1 2 9
Direct
0.000 0.000 0.000
0.000 0.000 0.334
0.000 0.000 0.666
0.500 0.500 0.000
0.500 0.500 0.334
0.500 0.500 0.666
0.500 0.000 0.168
0.500 0.000 0.500
0.500 0.000 0.832
0.000 0.500 0.168
0.000 0.500 0.500
0.000 0.500 0.832
```

## Properties
Symmetry = P4/mmm
ΔE_f = 0.024 eV per atom

(18)
## ScCd6Ag2 (PBE-GGA)

Data for ScCd6Ag2 after structural relaxation.

```
ScCd6Ag2
1.0
7.577 0.000 0.000
0.000 7.577 0.000
0.000 0.000 8.788
Sc Cd Ag
2 12 4
Direct
0.000 0.000 0.000
0.500 0.500 0.500
0.258 0.258 0.330
0.742 0.742 0.330
0.242 0.758 0.830
0.758 0.242 0.830
0.242 0.758 0.170
0.758 0.242 0.170
0.258 0.258 0.670
0.742 0.742 0.670
0.274 0.274 0.000
0.726 0.726 0.000
0.226 0.774 0.500
0.774 0.226 0.500
0.000 0.000 0.326
0.500 0.500 0.826
0.500 0.500 0.174
0.000 0.000 0.674
```

## Properties
Symmetry = P4_2/mnm
ΔE_f = 0.143 eV per atom
Relative energy among the computed polymorphs = 0.1918 eV per atom

(19)
## NdEr2PaN4 (PBE-GGA)

Data for NdEr2PaN4 after structural relaxation.

```
NdEr2PaN4
1.0
-2.451 -2.502 -0.206
1.504 -1.001 -5.749
4.345 -4.238 -0.218
Nd Er Pa N
1 2 1 4
Direct
0.500 0.500 0.000
0.000 0.000 0.000
0.500 0.000 0.500
0.000 0.500 0.500
0.000 0.752 0.726
0.000 0.248 0.274
0.500 0.751 0.263
0.500 0.249 0.737
```

## Properties
Formation energy (no corrections) = -13.08 eV/f.u.
Symmetry = P2/m

(20)
## GaCu (PBE-GGA)

Data for GaCu after structural relaxation.

```
GaCu
1.0
4.063 0.000 0.014
0.000 2.601 0.000
-3.942 0.000 11.457
Cu Ga
4 4
Direct
0.593 0.000 0.030
0.593 0.500 0.530
0.795 0.000 0.740
0.795 0.500 0.240
0.386 0.000 0.334
0.386 0.500 0.834
0.150 0.000 0.589
0.150 0.500 0.089
```

## Properties
Symmetry = Cm
ΔE_f = -0.031 eV per atom

Sequential theoretical density output: 5.857, 5.243, 7.506, 9.418, 7.065, 8.726, 6.805, 7.133, 9.136, 7.597, 9.139, 5.640, 10.462, 9.285, 14.204, 6.329, 5.444, 6.156, 10.485, 7.303 g/cm3
Sequential E output: -3.240, -4.035, -4.461, -2.868, -8.419, -3.304, -5.389, -3.117, -7.497, -4.578, -6.603, -4.258, -5.433, -6.657, -8.360, -2.435, -5.987, -1.804, -8.722, -3.593 eV/atom